No. 1
Crystalline FeWBr6 at its relaxed geometry, computed with PBE-GGA.

Results
formation energy without anion corrections = -0.255 eV/atom
SG = No. 12

a = 8.430 Å, b = 8.430 Å, c = 9.854 Å
α = 54.89°, β = 54.89°, γ = 69.65°
Positions (direct):
Br 0.173 0.173 0.517
Br 0.703 0.316 0.810
Br 0.493 0.126 0.683
Br 0.684 0.297 0.190
Br 0.195 0.195 0.105
Br 0.126 0.493 0.683
Br 0.874 0.507 0.317
Br 0.297 0.684 0.190
Br 0.316 0.703 0.810
Br 0.507 0.874 0.317
Br 0.827 0.827 0.483
Br 0.805 0.805 0.895
W 0.500 0.000 0.500
W 0.000 0.500 0.500
Fe 0.000 0.500 0.000
Fe 0.500 0.000 0.000

---

No. 2
Crystalline AcLa2Mn2N6 at its relaxed geometry, computed with PBE-GGA.

Results
formation energy without anion corrections = -0.716 eV/atom
SG = No. 166

a = 5.660 Å, b = 5.660 Å, c = 7.332 Å
α = 67.30°, β = 67.30°, γ = 60.00°
Positions (direct):
Ac 0.000 0.000 0.000
N 0.766 0.270 0.694
N 0.730 0.730 0.306
N 0.730 0.234 0.306
N 0.270 0.270 0.694
N 0.234 0.730 0.306
N 0.270 0.766 0.694
Mn 0.413 0.413 0.760
Mn 0.587 0.587 0.240
La 0.794 0.794 0.617
La 0.206 0.206 0.383

---

No. 3
Crystalline TiB2Mo at its relaxed geometry, computed with PBE-GGA.

Results
calculated formation energy = -0.46 eV per atom
SG = No. 166

a = 3.157 Å, b = 3.157 Å, c = 5.503 Å
α = 73.33°, β = 73.33°, γ = 60.00°
Positions (direct):
B 0.251 0.251 0.246
B 0.749 0.749 0.754
Ti 0.500 0.500 0.500
Mo 0.000 0.000 0.000

---

No. 4
Crystalline Nd2ThGa at its relaxed geometry, computed with PBE-GGA.

Results
calculated formation energy = -0.24 eV per atom
SG = No. 123

a = 3.624 Å, b = 3.624 Å, c = 8.872 Å
α = 90.00°, β = 90.00°, γ = 90.00°
Positions (direct):
Nd 0.000 0.000 0.782
Nd 0.000 0.000 0.218
Th 0.500 0.500 0.500
Ga 0.500 0.500 0.000

---

No. 5
Crystalline Ho3HfIr4 at its relaxed geometry, computed with PBE-GGA.

Results
calculated formation energy = -0.88 eV per atom
SG = No. 123

a = 3.317 Å, b = 3.317 Å, c = 14.037 Å
α = 90.00°, β = 90.00°, γ = 90.00°
Positions (direct):
Ir 0.000 0.000 0.110
Ir 0.000 0.000 0.371
Ir 0.000 0.000 0.629
Ir 0.000 0.000 0.890
Ho 0.500 0.500 0.245
Ho 0.500 0.500 0.755
Ho 0.500 0.500 0.500
Hf 0.500 0.500 0.000

---

No. 6
Crystalline Nd6ZnTe5 at its relaxed geometry, computed with PBE-GGA.

Results
formation energy without anion corrections = -1.258 eV/atom
SG = No. 12

a = 7.753 Å, b = 7.753 Å, c = 7.744 Å
α = 99.63°, β = 99.63°, γ = 119.81°
Positions (direct):
Nd 0.922 0.605 0.762
Nd 0.395 0.078 0.238
Nd 0.078 0.395 0.238
Nd 0.766 0.766 0.243
Nd 0.605 0.922 0.762
Nd 0.234 0.234 0.757
Te 0.335 0.665 0.000
Te 0.500 0.500 0.500
Te 0.665 0.335 0.000
Te 0.826 0.174 0.500
Te 0.174 0.826 0.500
Zn 0.000 0.000 0.000

---

No. 7
Crystalline LiCrCl2 at its relaxed geometry, computed with PBE-GGA.

Results
formation energy without anion corrections = -0.878 eV/atom
SG = No. 38

a = 5.496 Å, b = 4.204 Å, c = 4.210 Å
α = 66.77°, β = 90.00°, γ = 90.00°
Positions (direct):
Cl 0.500 0.449 0.448
Cl 0.000 0.812 0.813
Li 0.500 0.798 0.798
Cr 0.000 0.441 0.441

---

No. 8
Crystalline TaAlCBr2 at its relaxed geometry, computed with PBE-GGA.

Results
formation energy without anion corrections = 1.235 eV/atom
SG = No. 123

a = 5.274 Å, b = 3.687 Å, c = 5.274 Å
α = 90.00°, β = 90.00°, γ = 90.00°
Positions (direct):
Al 0.000 0.000 0.000
Br 0.500 0.000 0.000
Br 0.000 0.000 0.500
Ta 0.500 0.500 0.500
C 0.000 0.500 0.000

---

No. 9
Crystalline SrH2S at its relaxed geometry, computed with PBE-GGA.

Results
final energy = -3.264 eV per atom
SG = No. 122

a = 4.185 Å, b = 4.185 Å, c = 7.788 Å
α = 74.42°, β = 74.42°, γ = 90.00°
Positions (direct):
H 0.875 0.785 0.750
H 0.215 0.625 0.250
H 0.535 0.125 0.250
H 0.375 0.465 0.750
Sr 0.000 0.000 0.000
Sr 0.750 0.250 0.500
S 0.250 0.750 0.500
S 0.500 0.500 0.000

---

No. 10
Crystalline LiTc2Cl at its relaxed geometry, computed with PBE-GGA.

Results
formation energy without anion corrections = 0.116 eV/atom
SG = No. 35

a = 2.863 Å, b = 2.863 Å, c = 8.453 Å
α = 90.00°, β = 90.00°, γ = 117.40°
Positions (direct):
Tc 0.000 0.000 0.008
Tc 0.500 0.500 0.248
Cl 0.000 0.000 0.521
Li 0.500 0.500 0.723

---

No. 11
Crystalline Ac2PmHo at its relaxed geometry, computed with PBE-GGA.

Results
calculated formation energy = 0.25 eV per atom
SG = No. 166

a = 3.722 Å, b = 3.722 Å, c = 13.304 Å
α = 81.96°, β = 81.96°, γ = 60.00°
Positions (direct):
Ac 0.912 0.912 0.263
Ac 0.088 0.088 0.737
Pm 0.500 0.500 0.500
Ho 0.000 0.000 0.000